1.
Here is an optimized crystal structure of NaSr3Pr2Te6 from Alexandria via LeMat-Bulk. Energies are from GGA-PBE.

abc: 8.045 8.045 8.059
angles: 99.58 99.58 119.97
Fractional coordinates of all 12 atoms:
Te 0.743 0.743 0.240
Te 0.583 0.920 0.759
Te 0.417 0.080 0.241
Pr 0.333 0.667 0.000
Na 0.000 0.000 0.000
Te 0.080 0.417 0.241
Te 0.257 0.257 0.760
Sr 0.500 0.500 0.500
Sr 0.835 0.165 0.500
Te 0.920 0.583 0.759
Pr 0.667 0.333 0.000
Sr 0.165 0.835 0.500

Calculated values
formation energy from raw total energies = -18.456 eV per formula unit

---

2.
Here is an optimized crystal structure of NaSrPrTl from Alexandria via LeMat-Bulk. Energies are from GGA-PBE.

abc: 5.747 5.747 5.747
angles: 60.00 60.00 60.00
Fractional coordinates of all 4 atoms:
Sr 0.750 0.750 0.750
Pr 0.250 0.250 0.250
Na 0.500 0.500 0.500
Tl 0.000 0.000 0.000

Calculated values
raw total energy = -10.65 eV per formula unit

---

3.
Here is an optimized crystal structure of NaSrPr2Tl4 from Alexandria via LeMat-Bulk. Energies are from GGA-PBE.

abc: 5.543 5.543 9.765
angles: 73.51 73.51 60.00
Fractional coordinates of all 8 atoms:
Sr 0.000 0.000 0.000
Pr 0.245 0.245 0.266
Pr 0.755 0.755 0.734
Tl 0.126 0.126 0.622
Na 0.500 0.500 0.500
Tl 0.874 0.874 0.378
Tl 0.621 0.621 0.137
Tl 0.379 0.379 0.863

Calculated values
raw total energy = -24.53 eV per formula unit

---

4.
Here is an optimized crystal structure of NaSrPrZn from Alexandria via LeMat-Bulk. Energies are from GGA-PBE.

abc: 5.630 5.630 5.630
angles: 60.00 60.00 60.00
Fractional coordinates of all 4 atoms:
Pr 0.250 0.250 0.250
Sr 0.750 0.750 0.750
Zn 0.000 0.000 0.000
Na 0.500 0.500 0.500

Calculated values
raw total energy = -8.82 eV per formula unit

---

5.
Here is an optimized crystal structure of NaTb2Pr from Alexandria via LeMat-Bulk. Energies are from GGA-PBE.

abc: 3.590 3.590 10.619
angles: 90.00 90.00 90.00
Fractional coordinates of all 4 atoms:
Tb 0.000 0.000 0.765
Na 0.500 0.500 0.500
Pr 0.500 0.500 0.000
Tb 0.000 0.000 0.235

Calculated values
E above lowest polymorph = 0.00 eV/f.u.

---

6.
Here is an optimized crystal structure of NaTb2Pr from Alexandria via LeMat-Bulk. Energies are from GGA-PBE.

abc: 3.552 3.552 13.008
angles: 82.15 82.15 60.00
Fractional coordinates of all 4 atoms:
Na 0.000 0.000 0.000
Tb 0.909 0.909 0.274
Tb 0.091 0.091 0.726
Pr 0.500 0.500 0.500

Calculated values
E above lowest polymorph = 0.13 eV/f.u.

---

7.
Here is an optimized crystal structure of Na3Tb2PrTe6 from Alexandria via LeMat-Bulk. Energies are from GGA-PBE.

abc: 7.776 7.776 8.002
angles: 99.33 99.33 120.01
Fractional coordinates of all 12 atoms:
Te 0.079 0.420 0.235
Te 0.263 0.263 0.765
Na 0.164 0.836 0.500
Tb 0.667 0.333 0.000
Na 0.836 0.164 0.500
Te 0.737 0.737 0.235
Pr 0.000 0.000 0.000
Te 0.580 0.921 0.765
Tb 0.333 0.667 0.000
Te 0.921 0.580 0.765
Te 0.420 0.079 0.235
Na 0.500 0.500 0.500

Calculated values
formation energy from raw total energies = -15.871 eV per formula unit

---

8.
Here is an optimized crystal structure of Na2TbPr3Te6 from Alexandria via LeMat-Bulk. Energies are from GGA-PBE.

abc: 7.795 7.795 7.837
angles: 99.52 99.52 119.96
Fractional coordinates of all 12 atoms:
Tb 0.000 0.000 0.000
Te 0.080 0.409 0.241
Na 0.665 0.335 0.000
Te 0.920 0.591 0.759
Te 0.591 0.920 0.759
Te 0.755 0.755 0.247
Te 0.245 0.245 0.753
Pr 0.500 0.500 0.500
Pr 0.830 0.170 0.500
Na 0.335 0.665 0.000
Te 0.409 0.080 0.241
Pr 0.170 0.830 0.500

Calculated values
formation energy from raw total energies = -16.294 eV per formula unit

---

9.
Here is an optimized crystal structure of NaTb3Pr2Te6 from Alexandria via LeMat-Bulk. Energies are from GGA-PBE.

abc: 4.419 8.978 9.998
angles: 103.55 102.77 90.00
Fractional coordinates of all 12 atoms:
Te 0.668 0.076 0.335
Te 0.001 0.747 0.003
Tb 0.833 0.172 0.666
Tb 0.167 0.828 0.334
Pr 0.171 0.344 0.342
Te 0.999 0.253 0.997
Pr 0.829 0.656 0.658
Te 0.332 0.924 0.665
Tb 0.500 0.500 0.000
Te 0.338 0.409 0.677
Na 0.500 0.000 0.000
Te 0.662 0.591 0.323

Calculated values
formation energy from raw total energies = -16.433 eV per formula unit

---

10.
Here is an optimized crystal structure of NaTbPr2Te4 from Alexandria via LeMat-Bulk. Energies are from GGA-PBE.

abc: 4.460 7.785 7.796
angles: 109.00 90.00 90.00
Fractional coordinates of all 8 atoms:
Te 0.000 0.255 0.762
Tb 0.500 0.500 0.000
Na 0.000 0.000 0.000
Pr 0.500 0.000 0.500
Te 0.500 0.750 0.758
Te 0.000 0.745 0.238
Pr 0.000 0.500 0.500
Te 0.500 0.250 0.242

Calculated values
formation energy from raw total energies = -10.939 eV per formula unit

---

11.
Here is an optimized crystal structure of NaPr2Tc from Alexandria via LeMat-Bulk. Energies are from GGA-PBE.

abc: 3.563 3.563 9.398
angles: 90.00 90.00 90.00
Fractional coordinates of all 4 atoms:
Pr 0.000 0.000 0.182
Na 0.500 0.500 0.500
Pr 0.000 0.000 0.818
Tc 0.500 0.500 0.000

Calculated values
raw total energy = -20.82 eV per formula unit

---

12.
Here is an optimized crystal structure of NaPrTe from Alexandria via LeMat-Bulk. Energies are from GGA-PBE.

abc: 4.249 11.012 9.688
angles: 108.94 102.67 90.00
Fractional coordinates of all 12 atoms:
Te 0.942 0.603 0.884
Pr 0.568 0.188 0.135
Na 0.236 0.601 0.472
Te 0.607 0.936 0.215
Te 0.058 0.397 0.116
Na 0.224 0.115 0.447
Te 0.393 0.064 0.785
Pr 0.432 0.812 0.865
Pr 0.415 0.363 0.831
Pr 0.585 0.637 0.169
Na 0.776 0.885 0.553
Na 0.764 0.399 0.528

Calculated values
formation energy from raw total energies = -2.068 eV per formula unit

---

13.
Here is an optimized crystal structure of NaPr4Te6 from Alexandria via LeMat-Bulk. Energies are from GGA-PBE.

abc: 8.898 8.898 8.898
angles: 89.10 89.10 90.90
Fractional coordinates of all 22 atoms:
Pr 0.144 0.750 0.644
Te 0.440 0.824 0.415
Pr 0.356 0.144 0.250
Te 0.560 0.176 0.585
Pr 0.856 0.250 0.356
Te 0.676 0.060 0.085
Te 0.085 0.324 0.060
Te 0.324 0.940 0.915
Te 0.940 0.085 0.676
Na 0.500 0.500 0.500
Pr 0.750 0.356 0.856
Te 0.915 0.676 0.940
Te 0.176 0.415 0.440
Na 0.000 0.000 0.000
Te 0.415 0.560 0.824
Pr 0.250 0.644 0.144
Te 0.585 0.440 0.176
Te 0.824 0.585 0.560
Pr 0.250 0.250 0.750
Pr 0.750 0.750 0.250
Te 0.060 0.915 0.324
Pr 0.644 0.856 0.750

Calculated values
formation energy from raw total energies = -14.444 eV per formula unit

---

14.
Here is an optimized crystal structure of NaPr2Te4 from Alexandria via LeMat-Bulk. Energies are from GGA-PBE.

abc: 8.025 6.320 9.322
angles: 90.00 106.68 90.00
Fractional coordinates of all 14 atoms:
Te 0.041 0.750 0.867
Na 0.220 0.750 0.175
Na 0.780 0.250 0.825
Pr 0.754 0.750 0.553
Pr 0.233 0.250 0.921
Te 0.934 0.250 0.589
Te 0.959 0.250 0.133
Pr 0.246 0.250 0.447
Te 0.066 0.750 0.411
Pr 0.767 0.750 0.079
Te 0.468 0.511 0.747
Te 0.468 0.989 0.747
Te 0.532 0.011 0.253
Te 0.532 0.489 0.253

Calculated values
formation energy from raw total energies = -7.847 eV per formula unit

---

15.
Here is an optimized crystal structure of Na3PrTe3 from Alexandria via LeMat-Bulk. Energies are from GGA-PBE.

abc: 9.139 9.139 9.139
angles: 56.84 56.84 56.84
Fractional coordinates of all 14 atoms:
Na 0.396 0.127 0.827
Pr 0.666 0.666 0.666
Te 0.295 0.930 0.544
Te 0.070 0.456 0.705
Te 0.544 0.295 0.930
Na 0.873 0.173 0.604
Na 0.173 0.604 0.873
Na 0.127 0.827 0.396
Te 0.705 0.070 0.456
Te 0.456 0.705 0.070
Te 0.930 0.544 0.295
Na 0.827 0.396 0.127
Pr 0.334 0.334 0.334
Na 0.604 0.873 0.173

Calculated values
formation energy from raw total energies = -7.687 eV per formula unit

---

16.
Here is an optimized crystal structure of Na3Pr5Te8 from Alexandria via LeMat-Bulk. Energies are from GGA-PBE.

abc: 9.080 9.080 9.139
angles: 60.21 60.21 60.00
Fractional coordinates of all 16 atoms:
Pr 0.500 0.500 0.000
Te 0.750 0.249 0.251
Na 0.000 0.000 0.500
Na 0.000 0.500 0.500
Te 0.250 0.250 0.749
Te 0.748 0.748 0.755
Te 0.249 0.750 0.251
Pr 0.500 0.000 0.000
Pr 0.000 0.500 0.000
Te 0.250 0.751 0.749
Na 0.500 0.000 0.500
Pr 0.500 0.500 0.500
Te 0.750 0.750 0.251
Te 0.751 0.250 0.749
Pr 0.000 0.000 0.000
Te 0.252 0.252 0.245

Calculated values
formation energy from raw total energies = -21.846 eV per formula unit

---

17.
Here is an optimized crystal structure of NaPr3Te4 from Alexandria via LeMat-Bulk. Energies are from GGA-PBE.

abc: 6.414 6.414 6.414
angles: 90.00 90.00 90.00
Fractional coordinates of all 8 atoms:
Pr 0.000 0.500 0.500
Te 0.500 0.000 0.000
Te 0.500 0.500 0.500
Pr 0.500 0.000 0.500
Na 0.000 0.000 0.000
Te 0.000 0.000 0.500
Te 0.000 0.500 0.000
Pr 0.500 0.500 0.000

Calculated values
E above lowest polymorph = 0.00 eV/f.u.
formation energy from raw total energies = -11.211 eV per formula unit

---

18.
Here is an optimized crystal structure of NaPr3Th2Te6 from Alexandria via LeMat-Bulk. Energies are from GGA-PBE.

abc: 4.491 9.053 10.097
angles: 103.42 102.85 90.00
Fractional coordinates of all 12 atoms:
Na 0.500 0.000 0.000
Th 0.172 0.349 0.345
Te 0.335 0.909 0.671
Te 0.664 0.588 0.327
Pr 0.834 0.169 0.667
Te 0.336 0.412 0.673
Te 0.665 0.091 0.329
Pr 0.166 0.831 0.333
Te 0.005 0.248 0.009
Th 0.828 0.651 0.655
Te 0.995 0.752 0.991
Pr 0.500 0.500 0.000

Calculated values
formation energy from raw total energies = -15.209 eV per formula unit

---

19.
Here is an optimized crystal structure of Na3PrTh2Te6 from Alexandria via LeMat-Bulk. Energies are from GGA-PBE.

abc: 7.706 7.706 8.172
angles: 99.04 99.04 119.99
Fractional coordinates of all 12 atoms:
Pr 0.000 0.000 0.000
Te 0.742 0.742 0.244
Te 0.258 0.258 0.756
Te 0.421 0.082 0.244
Na 0.500 0.500 0.500
Te 0.579 0.918 0.756
Th 0.333 0.667 0.000
Te 0.082 0.421 0.244
Na 0.835 0.165 0.500
Th 0.667 0.333 0.000
Na 0.165 0.835 0.500
Te 0.918 0.579 0.756

Calculated values
formation energy from raw total energies = -14.101 eV per formula unit

---

20.
Here is an optimized crystal structure of Na3Pr2ThTe6 from Alexandria via LeMat-Bulk. Energies are from GGA-PBE.

abc: 7.821 7.821 8.077
angles: 99.28 99.28 120.00
Fractional coordinates of all 12 atoms:
Pr 0.666 0.334 0.000
Th 0.000 0.000 0.000
Te 0.408 0.081 0.243
Na 0.169 0.831 0.500
Te 0.754 0.754 0.243
Te 0.919 0.592 0.757
Te 0.081 0.408 0.243
Na 0.500 0.500 0.500
Pr 0.334 0.666 0.000
Te 0.246 0.246 0.757
Na 0.831 0.169 0.500
Te 0.592 0.919 0.757

Calculated values
formation energy from raw total energies = -15.079 eV per formula unit

---

21.
Here is an optimized crystal structure of NaPrTh2Te4 from Alexandria via LeMat-Bulk. Energies are from GGA-PBE.

abc: 4.356 7.598 8.121
angles: 107.68 90.00 90.00
Fractional coordinates of all 8 atoms:
Te 0.500 0.256 0.247
Pr 0.000 0.000 0.000
Na 0.500 0.500 0.000
Th 0.500 0.000 0.500
Te 0.000 0.745 0.247
Th 0.000 0.500 0.500
Te 0.500 0.744 0.753
Te 0.000 0.255 0.753

Calculated values
formation energy from raw total energies = -9.241 eV per formula unit

---

22.
Here is an optimized crystal structure of Na3Pr3TiTe8 from Alexandria via LeMat-Bulk. Energies are from GGA-PBE.

abc: 8.923 8.923 9.242
angles: 118.89 90.00 120.00
Fractional coordinates of all 15 atoms:
Te 0.774 0.997 0.720
Pr 0.500 0.000 0.500
Ti 0.000 0.000 0.500
Na 0.000 0.000 0.000
Te 0.226 0.003 0.280
Te 0.252 0.504 0.256
Te 0.748 0.496 0.744
Na 0.500 0.500 0.000
Te 0.223 0.447 0.720
Pr 0.500 0.500 0.500
Te 0.223 0.997 0.720
Te 0.777 0.003 0.280
Pr 0.000 0.500 0.500
Na 0.000 0.500 0.000
Te 0.777 0.553 0.280

Calculated values
formation energy from raw total energies = -17.136 eV per formula unit